DFT (PBE with a Hubbard U) results for a relaxed CrBiNF2 crystal.

Cell and atoms, written as extended XYZ:
```
5
Lattice="-1.3705 3.7422 0.3183 -1.8573 -0.3808 -3.5198 -3.4783 -1.4432 1.9916" Properties=species:S:1:pos:R:3 pbc="T T T"
F -0.9287 -0.1904 -1.7599
N -1.7392 -0.7216 0.9958
Bi -3.3531 0.9591 -0.6049
Cr 0.0000 0.0000 0.0000
F -0.6852 1.8711 0.1592
```

Properties
Spin magnetization: 3.28 μB per cell
Raw total energy: -0.41210 Ry/atom